Version 1
An optimized crystal structure of SrMg5, computed with PBE-GGA.

The space group is F-43m (No. 216) and the conventional cell measures 8.7120, 8.7120 and 8.7120 Å, with angles of 90.00, 90.00 and 90.00 degrees. The asymmetric unit holds Sr at (0.0000, 0.0000, 0.0000), Mg at (0.1247, 0.1247, 0.6247) and Mg at (0.2500, 0.2500, 0.2500).

Its size of the total moment is 0.0 μB per cell.



Version 2
An optimized crystal structure of SrMg5, computed with PBE-GGA.

The space group is P6/mmm (No. 191) and the conventional cell measures 6.1794, 6.1794 and 5.0814 Å, with angles of 90.00, 90.00 and 120.00 degrees. The asymmetric unit holds Sr at (0.0000, 0.0000, 0.0000), Mg at (0.0000, 0.5000, 0.5000) and Mg at (0.3333, 0.6667, 0.0000).

Its size of the total moment is 0.0 μB per cell.



Version 3
An optimized crystal structure of SrMg5, computed with PBE-GGA.

The space group is Amm2 (No. 38) and the conventional cell measures 5.2706, 3.4751 and 18.2963 Å, with angles of 90.00, 90.00 and 90.00 degrees. The asymmetric unit holds Sr at (0.0000, 0.0000, 0.0000), Mg at (0.0000, 0.0000, 0.3217), Mg at (0.0000, 0.0000, 0.6768), Mg at (0.5000, 0.0000, 0.1306), Mg at (0.5000, 0.0000, 0.4178) and Mg at (0.5000, 0.0000, 0.7759).

Its size of the total moment is 0.0 μB per cell.



Calculated relative energies: version 1 0.034; version 2 0.000; version 3 0.112, given in eV/atom



Version 1
An optimized crystal structure of SrMg5, computed with PBE-GGA.

The space group is Cmmm (No. 65) and the conventional cell measures 4.7410, 13.9399 and 5.0098 Å, with angles of 90.00, 90.00 and 90.00 degrees. The asymmetric unit holds Sr at (0.0000, 0.0000, 0.0000), Mg at (0.0000, 0.1727, 0.5000), Mg at (0.0000, 0.3195, 0.0000) and Mg at (0.0000, 0.5000, 0.5000).

Its size of the total moment is 0.0 μB per cell.



Version 2
An optimized crystal structure of SrMg5, computed with PBE-GGA.

The space group is P4/mmm (No. 123) and the conventional cell measures 3.7328, 3.7328 and 11.6501 Å, with angles of 90.00, 90.00 and 90.00 degrees. The asymmetric unit holds Sr at (0.0000, 0.0000, 0.0000), Mg at (0.0000, 0.0000, 0.3555), Mg at (0.5000, 0.5000, 0.2108) and Mg at (0.5000, 0.5000, 0.5000).

Its size of the total moment is 0.0 μB per cell.



Version 3
An optimized crystal structure of SrMg5, computed with PBE-GGA.

The space group is R32 (No. 155, hexagonal axes) and the conventional cell measures 5.8659, 5.8659 and 16.7542 Å, with angles of 90.00, 90.00 and 120.00 degrees. The asymmetric unit holds Sr at (0.0000, 0.0000, 0.0000), Mg at (0.0000, 0.0000, 0.3315) and Mg at (0.0000, 0.3170, 0.5000).

Its size of the total moment is 0.0 μB per cell.



Version 4
An optimized crystal structure of SrMg5, computed with PBE-GGA.

The space group is P-6m2 (No. 187) and the conventional cell measures 3.4098, 3.4098 and 16.1756 Å, with angles of 90.00, 90.00 and 120.00 degrees. The asymmetric unit holds Sr at (0.0000, 0.0000, 0.0000), Mg at (0.0000, 0.0000, 0.3454), Mg at (0.3333, 0.6667, 0.1886) and Mg at (0.3333, 0.6667, 0.5000).

Its size of the total moment is 0.0 μB per cell.



Calculated relative energies: version 1 0.015; version 2 0.000; version 3 0.064; version 4 0.127, given in eV/atom



Version 1
An optimized crystal structure of SrMg7, computed with PBE-GGA.

The space group is Fm-3m (No. 225) and the conventional cell measures 9.5390, 9.5390 and 9.5390 Å, with angles of 90.00, 90.00 and 90.00 degrees. The asymmetric unit holds Sr at (0.0000, 0.0000, 0.0000), Mg at (0.0000, 0.0000, 0.5000) and Mg at (0.0000, 0.2500, 0.2500).

Its size of the total moment is 0.0 μB per cell.



Version 2
An optimized crystal structure of SrMg7, computed with PBE-GGA.

The space group is P-6m2 (No. 187) and the conventional cell measures 6.8153, 6.8153 and 5.2909 Å, with angles of 90.00, 90.00 and 120.00 degrees. The asymmetric unit holds Sr at (0.0000, 0.0000, 0.0000), Mg at (0.0103, 0.5051, 0.0000), Mg at (0.1775, 0.3551, 0.5000) and Mg at (0.6667, 0.3333, 0.5000).

Its size of the total moment is 0.0 μB per cell.



Calculated relative energies: version 1 0.043; version 2 0.000, given in eV/atom



Version 1
An optimized crystal structure of Sr3Mg4, computed with PBE-GGA.

The space group is P6/mmm (No. 191) and the conventional cell measures 7.4368, 7.4368 and 5.8367 Å, with angles of 90.00, 90.00 and 120.00 degrees. The asymmetric unit holds Sr at (0.0000, 0.5000, 0.0000), Mg at (0.0000, 0.0000, 0.2513) and Mg at (0.3333, 0.6667, 0.5000).

Its size of the total moment is 0.0 μB per cell.



Version 2
An optimized crystal structure of Sr3Mg4, computed with PBE-GGA.

The space group is I4/mmm (No. 139) and the conventional cell measures 3.9733, 3.9733 and 31.3255 Å, with angles of 90.00, 90.00 and 90.00 degrees. The asymmetric unit holds Sr at (0.0000, 0.0000, 0.0000), Sr at (0.0000, 0.0000, 0.3036), Mg at (0.0000, 0.0000, 0.1218) and Mg at (0.0000, 0.0000, 0.4248).

Its size of the total moment is 0.0 μB per cell.



Calculated relative energies: version 1 0.273; version 2 0.000, given in eV/atom



Version 1
An optimized crystal structure of Sr4Mg, computed with PBE-GGA.

The space group is I4/m (No. 87) and the conventional cell measures 10.5472, 10.5472 and 4.3124 Å, with angles of 90.00, 90.00 and 90.00 degrees. The asymmetric unit holds Sr at (0.0763, 0.7313, 0.0000) and Mg at (0.0000, 0.0000, 0.5000).

Its size of the total moment is 0.0 μB per cell.



Version 2
An optimized crystal structure of Sr4Mg, computed with PBE-GGA.

The space group is I4/mmm (No. 139) and the conventional cell measures 4.2094, 4.2094 and 26.9048 Å, with angles of 90.00, 90.00 and 90.00 degrees. The asymmetric unit holds Sr at (0.0000, 0.0000, 0.0767), Sr at (0.0000, 0.0000, 0.3079) and Mg at (0.0000, 0.0000, 0.5000).

Its size of the total moment is 0.0 μB per cell.



Version 3
An optimized crystal structure of Sr4Mg, computed with PBE-GGA.

The space group is C2/c (No. 15) and the conventional cell measures 10.6950, 17.4263 and 7.0140 Å, with angles of 90.00, 130.73 and 90.00 degrees. The asymmetric unit holds Sr at (0.1515, 0.1771, 0.1514), Sr at (0.1599, 0.4170, 0.1602) and Mg at (0.0000, 0.0000, 0.2500).

Its size of the total moment is 0.0 μB per cell.



Version 4
An optimized crystal structure of Sr4Mg, computed with PBE-GGA.

The space group is Im-3m (No. 229) and the conventional cell measures 8.1468, 8.1468 and 8.1468 Å, with angles of 90.00, 90.00 and 90.00 degrees. The asymmetric unit holds Sr at (0.2500, 0.2500, 0.2500) and Mg at (0.0000, 0.0000, 0.0000).

Its size of the total moment is 0.0 μB per cell.



Calculated relative energies: version 1 0.010; version 2 0.000; version 3 0.036; version 4 0.245, given in eV/atom



Version 1
An optimized crystal structure of Sr4Mg, computed with PBE-GGA.

The space group is Pm-3m (No. 221) and the conventional cell measures 6.5413, 6.5413 and 6.5413 Å, with angles of 90.00, 90.00 and 90.00 degrees. The asymmetric unit holds Sr at (0.0000, 0.0000, 0.0000), Sr at (0.0000, 0.5000, 0.5000) and Mg at (0.5000, 0.5000, 0.5000).

Its size of the total moment is 0.2 μB per cell.



Version 2
An optimized crystal structure of Sr4Mg, computed with PBE-GGA.

The space group is I4/mmm (No. 139) and the conventional cell measures 4.9559, 4.9559 and 21.2391 Å, with angles of 90.00, 90.00 and 90.00 degrees. The asymmetric unit holds Sr at (0.0000, 0.0000, 0.0891), Sr at (0.0000, 0.5000, 0.2500) and Mg at (0.0000, 0.0000, 0.5000).

Its size of the total moment is 0.0 μB per cell.



Calculated relative energies: version 1 0.000; version 2 0.126, given in eV/atom



Version 1
An optimized crystal structure of Sr4Mg5, computed with PBE-GGA.

The space group is I4/mmm (No. 139) and the conventional cell measures 10.9206, 10.9206 and 5.4906 Å, with angles of 90.00, 90.00 and 90.00 degrees. The asymmetric unit holds Sr at (0.0000, 0.3072, 0.0000), Mg at (0.0000, 0.0000, 0.0000) and Mg at (0.1464, 0.1464, 0.5000).

Its size of the total moment is 0.0 μB per cell.



Version 2
An optimized crystal structure of Sr4Mg5, computed with PBE-GGA.

The space group is P6_3/mcm (No. 193) and the conventional cell measures 10.2848, 10.2848 and 7.0939 Å, with angles of 90.00, 90.00 and 120.00 degrees. The asymmetric unit holds Sr at (0.0000, 0.0000, 0.0000), Sr at (0.0000, 0.3568, 0.2500), Mg at (0.0000, 0.3172, 0.7500) and Mg at (0.3333, 0.6667, 0.0000).

Its size of the total moment is 0.0 μB per cell.



Calculated relative energies: version 1 0.000; version 2 0.026, given in eV/atom



Version 1
An optimized crystal structure of Sr4Mg3, computed with PBE-GGA.

The space group is P6/mmm (No. 191) and the conventional cell measures 6.6897, 6.6897 and 7.1603 Å, with angles of 90.00, 90.00 and 120.00 degrees. The asymmetric unit holds Sr at (0.0000, 0.0000, 0.2412), Sr at (0.3333, 0.6667, 0.5000) and Mg at (0.0000, 0.5000, 0.0000).

Its size of the total moment is 0.0 μB per cell.



Version 2
An optimized crystal structure of Sr4Mg3, computed with PBE-GGA.

The space group is I4/mmm (No. 139) and the conventional cell measures 4.1001, 4.1001 and 33.1268 Å, with angles of 90.00, 90.00 and 90.00 degrees. The asymmetric unit holds Sr at (0.0000, 0.0000, 0.0645), Sr at (0.0000, 0.0000, 0.3388), Mg at (0.0000, 0.0000, 0.2280) and Mg at (0.0000, 0.0000, 0.5000).

Its size of the total moment is 0.0 μB per cell.



Calculated relative energies: version 1 0.032; version 2 0.000, given in eV/atom



Version 1
An optimized crystal structure of SrMg2Ta, computed with PBE-GGA.

The space group is I4/mmm (No. 139) and the conventional cell measures 5.1999, 5.1999 and 7.3455 Å, with angles of 90.00, 90.00 and 90.00 degrees. The asymmetric unit holds Sr at (0.0000, 0.0000, 0.0000), Mg at (0.0000, 0.5000, 0.2500) and Ta at (0.0000, 0.0000, 0.5000).

Its size of the total moment is 0.0 μB per cell.



Version 2
An optimized crystal structure of SrMg2Ta, computed with PBE-GGA.

The space group is Pmmm (No. 47) and the conventional cell measures 3.1668, 4.2571 and 7.4633 Å, with angles of 90.00, 90.00 and 90.00 degrees. The asymmetric unit holds Sr at (0.0000, 0.0000, 0.0000), Mg at (0.5000, 0.5000, 0.3039) and Ta at (0.0000, 0.0000, 0.5000).

Its size of the total moment is 0.0 μB per cell.



Version 3
An optimized crystal structure of SrMg2Ta, computed with PBE-GGA.

The space group is Cmmm (No. 65) and the conventional cell measures 6.9207, 9.1577 and 3.0364 Å, with angles of 90.00, 90.00 and 90.00 degrees. The asymmetric unit holds Sr at (0.0000, 0.0000, 0.0000), Mg at (0.2500, 0.2500, 0.5000) and Ta at (0.0000, 0.5000, 0.0000).

Its size of the total moment is 0.0 μB per cell.



Version 4
An optimized crystal structure of SrMg2Ta, computed with PBE-GGA.

The space group is I-4m2 (No. 119) and the conventional cell measures 4.6154, 4.6154 and 9.5913 Å, with angles of 90.00, 90.00 and 90.00 degrees. The asymmetric unit holds Sr at (0.0000, 0.0000, 0.0000), Mg at (0.0000, 0.0000, 0.5000), Mg at (0.0000, 0.5000, 0.2500) and Ta at (0.0000, 0.5000, 0.7500).

Its size of the total moment is 3.4 μB per cell.



Calculated relative energies: version 1 0.193; version 2 0.000; version 3 0.117; version 4 0.278, given in eV/atom



Version 1
An optimized crystal structure of SrMgTa3, computed with PBE-GGA.

The space group is Pm-3m (No. 221) and the conventional cell measures 4.9868, 4.9868 and 4.9868 Å, with angles of 90.00, 90.00 and 90.00 degrees. The asymmetric unit holds Sr at (0.0000, 0.0000, 0.0000), Mg at (0.5000, 0.5000, 0.5000) and Ta at (0.0000, 0.5000, 0.5000).

Its size of the total moment is 0.0 μB per cell.



Version 2
An optimized crystal structure of SrMgTa3, computed with PBE-GGA.

The space group is Pm-3m (No. 221) and the conventional cell measures 4.9326, 4.9326 and 4.9326 Å, with angles of 90.00, 90.00 and 90.00 degrees. The asymmetric unit holds Sr at (0.0000, 0.0000, 0.0000), Mg at (0.5000, 0.5000, 0.5000) and Ta at (0.0000, 0.0000, 0.5000).

Its size of the total moment is 0.0 μB per cell.



Calculated relative energies: version 1 0.000; version 2 0.858, given in eV/atom